NiPd2F6 PBE+U relaxed; crystal system = orthorhombic; VASP energy = -73.652 eV/cell
1.0
4.750 0.000 0.000
0.000 5.601 0.000
0.000 0.000 9.379
Ni Pd F
2 4 12
direct
0.000 0.000 0.000 Ni
0.500 0.500 0.500 Ni
0.000 0.500 0.179 Pd
0.000 0.500 0.821 Pd
0.500 0.000 0.321 Pd
0.500 0.000 0.679 Pd
0.217 0.314 0.000 F
0.234 0.839 0.155 F
0.234 0.839 0.845 F
0.266 0.339 0.345 F
0.266 0.339 0.655 F
0.283 0.814 0.500 F
0.717 0.186 0.500 F
0.734 0.661 0.345 F
0.734 0.661 0.655 F
0.766 0.161 0.155 F
0.766 0.161 0.845 F
0.783 0.686 0.000 F